## a
# GGA+U HoV2F8, relaxed
data_HoV2F8
_cell_length_a 6.188
_cell_length_b 6.188
_cell_length_c 4.300
_cell_angle_alpha 91.79
_cell_angle_beta 91.79
_cell_angle_gamma 71.94
_symmetry_space_group_name_H-M 'P 1'
_symmetry_Int_Tables_number 1
_symmetry_space_group_name_Hall 'P 1'
loop_
_atom_site_label
_atom_site_fract_x
_atom_site_fract_y
_atom_site_fract_z
Ho1 0.000 0.000 0.000
V1 0.380 0.380 0.741
V2 0.620 0.620 0.259
F1 0.125 0.673 0.752
F2 0.183 0.183 0.742
F3 0.327 0.875 0.248
F4 0.410 0.410 0.245
F5 0.590 0.590 0.755
F6 0.673 0.125 0.752
F7 0.817 0.817 0.258
F8 0.875 0.327 0.248
# DOS(E_F): 0.572 states/eV per atom
# Space-group type: C2/m

## b
# GGA+U HoV2F8, relaxed
data_HoV2F8
_cell_length_a 5.535
_cell_length_b 5.535
_cell_length_c 5.300
_cell_angle_alpha 100.67
_cell_angle_beta 100.67
_cell_angle_gamma 72.89
_symmetry_space_group_name_H-M 'P 1'
_symmetry_Int_Tables_number 1
_symmetry_space_group_name_Hall 'P 1'
loop_
_atom_site_label
_atom_site_fract_x
_atom_site_fract_y
_atom_site_fract_z
Ho1 0.000 0.000 0.000
V1 0.315 0.315 0.534
V2 0.685 0.685 0.466
F1 0.045 0.650 0.710
F2 0.161 0.161 0.762
F3 0.350 0.955 0.290
F4 0.444 0.444 0.267
F5 0.556 0.556 0.733
F6 0.650 0.045 0.710
F7 0.839 0.839 0.238
F8 0.955 0.350 0.290
# DOS(E_F): 0.157 states/eV per atom
# Space-group type: C2/m

Most stable of them? a.